Record 1
First-principles (PBEsol) data for a geometry-optimized Ti3AuF structure, as listed in Alexandria via LeMat-Bulk.

Results
- SG = Pm-3m, No. 221
- magnetic moment (μB per formula unit) = 1.57

abc: 4.1375 4.1375 4.1375
angles: 90.00 90.00 90.00
Last column: nearest neighbours and their distance in Å.
Element x y z (fractional)
Ti  0.0000  0.0000  0.5000  2 F 2.07
F  0.0000  0.0000  0.0000  6 Ti 2.07
Ti  0.5000  0.0000  0.0000  2 F 2.07
Au  0.5000  0.5000  0.5000  12 Ti 2.93
Ti  0.0000  0.5000  0.0000  2 F 2.07

***

Record 2
First-principles (PBEsol) data for a geometry-optimized ZrTlAuF2 structure, as listed in Alexandria via LeMat-Bulk.

Results
- SG = P4/mmm, No. 123
- magnetic moment (μB per formula unit) = 0.53

abc: 4.3475 4.3475 5.3805
angles: 90.00 90.00 90.00
Last column: nearest neighbours and their distance in Å.
Element x y z (fractional)
Au  0.0000  0.0000  0.0000  4 F 2.17
Zr  0.0000  0.0000  0.5000  2 Au 2.69
Tl  0.5000  0.5000  0.5000  4 Zr 3.07
F  0.5000  0.0000  0.0000  2 Au 2.17
F  0.0000  0.5000  0.0000  2 Au 2.17

***

One value per record, in order, for E_tot: -34.634, -20.794 eV/f.u..
One value per record, in order, for uncorrected formation energy: -763, -259 meV per atom.